[1]
Below is a geometry-optimized Cs2RbNaAu structure, with properties calculated at the PBE level.

The value obtained for the formation energy is -0.1040 eV/atom. The polymorph energy (0 for the lowest one) comes out at 15.6 meV/atom.

It has space group P4/mmm (No. 123), with a = 7.2195 Å, b = 7.2195 Å, c = 6.1325 Å, α = 90.00°, β = 90.00° and γ = 90.00°. Symmetry generates all atoms from Cs at (0.0000, 0.5000, 0.0000), Rb at (0.0000, 0.0000, 0.5000), Na at (0.5000, 0.5000, 0.5000) and Au at (0.5000, 0.5000, 0.0000).

***

[2]
Below is a geometry-optimized Cs2Rb2Na2Au structure, with properties calculated at the PBE level.

The value obtained for the formation energy is -0.0842 eV/atom.

It has space group P-1 (No. 2), with a = 5.1750 Å, b = 8.5080 Å, c = 11.8678 Å, α = 110.75°, β = 90.02° and γ = 107.33°. Symmetry generates all atoms from Cs at (0.0126, 0.0264, 0.2065), Rb at (0.3292, 0.6570, 0.3818), Na at (0.3038, 0.6088, 0.9407) and Au at (0.5000, 0.0000, 0.0000).

***

[3]
Below is a geometry-optimized Cs2RbNaAu structure, with properties calculated at the PBE level.

The value obtained for the formation energy is -0.1061 eV/atom. The polymorph energy (0 for the lowest one) comes out at 13.5 meV/atom.

It has space group P4/mmm (No. 123), with a = 7.0846 Å, b = 7.0846 Å, c = 6.9041 Å, α = 90.00°, β = 90.00° and γ = 90.00°. Symmetry generates all atoms from Cs at (0.0000, 0.5000, 0.0000), Rb at (0.0000, 0.0000, 0.5000), Na at (0.5000, 0.5000, 0.5000) and Au at (0.0000, 0.0000, 0.0000).

***

[4]
Below is a geometry-optimized Cs2Rb5NaAu structure, with properties calculated at the PBE level.

The value obtained for the formation energy is -0.0392 eV/atom.

It has space group I4mm (No. 107), with a = 9.8632 Å, b = 9.8632 Å, c = 14.1724 Å, α = 90.00°, β = 90.00° and γ = 90.00°. Symmetry generates all atoms from Cs at (0.0000, 0.5000, 0.0000), Rb at (0.0000, 0.0000, 0.0172), Rb at (0.2494, 0.2494, 0.2529), Na at (0.0000, 0.0000, 0.4838) and Au at (0.0000, 0.0000, 0.2689).

***

[5]
Below is a geometry-optimized Cs2RbNaAu structure, with properties calculated at the PBE level.

The value obtained for the formation energy is 0.0468 eV/atom. The polymorph energy (0 for the lowest one) comes out at 166.4 meV/atom.

It has space group P4/mmm (No. 123), with a = 7.7740 Å, b = 7.7740 Å, c = 5.5995 Å, α = 90.00°, β = 90.00° and γ = 90.00°. Symmetry generates all atoms from Cs at (0.0000, 0.5000, 0.0000), Rb at (0.0000, 0.0000, 0.5000), Na at (0.5000, 0.5000, 0.0000) and Au at (0.5000, 0.5000, 0.5000).

***

[6]
Below is a geometry-optimized Cs2RbNaAu structure, with properties calculated at the PBE level.

The value obtained for the formation energy is -0.1196 eV/atom. The polymorph energy (0 for the lowest one) comes out at 0.0 meV/atom.

It has space group P2_1/m (No. 11), with a = 8.9081 Å, b = 5.0637 Å, c = 13.4143 Å, α = 90.00°, β = 95.16° and γ = 90.00°. Symmetry generates all atoms from Cs at (0.2189, 0.2500, 0.0291), Cs at (0.2607, 0.2500, 0.4150), Rb at (0.1695, 0.7500, 0.7344), Na at (0.4613, 0.7500, 0.2247) and Au at (0.1097, 0.7500, 0.2088).

***

[7]
Below is a geometry-optimized Cs2NaAuS structure, with properties calculated at the PBE level.

For the raw formation energy, the calculation gives -0.64 eV per atom.

It has space group P4/mmm (No. 123), with a = 6.7896 Å, b = 6.7896 Å, c = 5.1754 Å, α = 90.00°, β = 90.00° and γ = 90.00°. Symmetry generates all atoms from Cs at (0.0000, 0.5000, 0.0000), Na at (0.0000, 0.0000, 0.5000), Au at (0.5000, 0.5000, 0.5000) and S at (0.0000, 0.0000, 0.0000).

***

[8]
Below is a geometry-optimized CsNa2AuS structure, with properties calculated at the PBE level.

For the raw formation energy, the calculation gives -0.62 eV per atom.

It has space group P4/mmm (No. 123), with a = 5.2915 Å, b = 5.2915 Å, c = 6.8882 Å, α = 90.00°, β = 90.00° and γ = 90.00°. Symmetry generates all atoms from Cs at (0.0000, 0.0000, 0.0000), Na at (0.0000, 0.5000, 0.5000), Au at (0.5000, 0.5000, 0.0000) and S at (0.0000, 0.0000, 0.5000).